[1]
{
  "formula": "Ba2InCo2",
  "functional": "PBE",
  "state": "relaxed",
  "magmom_total_mub_per_fu": 2.6,
  "total_energy_ev_per_atom": -3.75,
  "e_form_ev_per_atom": 0.4061,
  "spacegroup": "I4/mmm (139)",
  "lattice_angstrom": [[6.2090, 0.0000, 0.0000], [0.0000, 6.2090, 0.0000], [0.0000, 0.0000, 7.7074]],
  "species": ["Ba", "Ba", "Ba", "Ba", "In", "In", "Co", "Co", "Co", "Co"],
  "frac_coords": [[0.0000, 0.5000, 0.2500], [0.0000, 0.5000, 0.7500], [0.5000, 0.0000, 0.2500], [0.5000, 0.0000, 0.7500], [0.0000, 0.0000, 0.0000], [0.5000, 0.5000, 0.5000], [0.0000, 0.0000, 0.3543], [0.0000, 0.0000, 0.6457], [0.5000, 0.5000, 0.1457], [0.5000, 0.5000, 0.8543]]
}

---

[2]
{
  "formula": "ScCr2BAs",
  "functional": "PBE",
  "state": "relaxed",
  "magmom_total_mub_per_fu": 7.8,
  "total_energy_ev_per_atom": -5.33,
  "e_form_ev_per_atom": 2.0469,
  "spacegroup": "P4/mmm (123)",
  "lattice_angstrom": [[4.8802, 0.0000, 0.0000], [0.0000, 4.8802, 0.0000], [0.0000, 0.0000, 4.9257]],
  "species": ["Sc", "Cr", "Cr", "B", "As"],
  "frac_coords": [[0.0000, 0.0000, 0.0000], [0.0000, 0.5000, 0.0000], [0.5000, 0.0000, 0.0000], [0.5000, 0.5000, 0.5000], [0.0000, 0.0000, 0.5000]]
}

---

[3]
{
  "formula": "PaGe3Rh5",
  "functional": "PBE",
  "state": "relaxed",
  "magmom_total_mub_per_fu": 0.0,
  "total_energy_ev_per_atom": -7.17,
  "e_form_ev_per_atom": -0.4931,
  "spacegroup": "Cmcm (63)",
  "lattice_angstrom": [[1.8356, -6.5848, 0.0000], [1.8356, 6.5848, 0.0000], [0.0000, 0.0000, 13.0758]],
  "species": ["Pa", "Pa", "Ge", "Ge", "Ge", "Ge", "Ge", "Ge", "Rh", "Rh", "Rh", "Rh", "Rh", "Rh", "Rh", "Rh", "Rh", "Rh"],
  "frac_coords": [[0.0970, 0.9030, 0.7500], [0.9030, 0.0970, 0.2500], [0.1409, 0.8591, 0.2500], [0.3756, 0.6244, 0.0346], [0.3756, 0.6244, 0.4654], [0.6244, 0.3756, 0.5346], [0.6244, 0.3756, 0.9654], [0.8591, 0.1409, 0.7500], [0.0000, 0.0000, 0.0000], [0.0000, 0.0000, 0.5000], [0.1998, 0.8002, 0.0751], [0.1998, 0.8002, 0.4249], [0.4641, 0.5359, 0.6502], [0.4641, 0.5359, 0.8498], [0.5359, 0.4641, 0.1502], [0.5359, 0.4641, 0.3498], [0.8002, 0.1998, 0.5751], [0.8002, 0.1998, 0.9249]]
}

---

[4]
{
  "formula": "CeHoCdOs",
  "functional": "PBE",
  "state": "relaxed",
  "magmom_total_mub_per_fu": 0.1,
  "total_energy_ev_per_atom": -5.80,
  "e_form_ev_per_atom": -0.1385,
  "spacegroup": "F-43m (216)",
  "relative_energy_mev_per_atom": 140,
  "lattice_angstrom": [[7.1462, 0.0000, 0.0000], [0.0000, 7.1462, 0.0000], [0.0000, 0.0000, 7.1462]],
  "species": ["Ce", "Ce", "Ce", "Ce", "Ho", "Ho", "Ho", "Ho", "Cd", "Cd", "Cd", "Cd", "Os", "Os", "Os", "Os"],
  "frac_coords": [[0.0000, 0.0000, 0.0000], [0.0000, 0.5000, 0.5000], [0.5000, 0.0000, 0.5000], [0.5000, 0.5000, 0.0000], [0.0000, 0.0000, 0.5000], [0.0000, 0.5000, 0.0000], [0.5000, 0.0000, 0.0000], [0.5000, 0.5000, 0.5000], [0.2500, 0.2500, 0.7500], [0.2500, 0.7500, 0.2500], [0.7500, 0.2500, 0.2500], [0.7500, 0.7500, 0.7500], [0.2500, 0.2500, 0.2500], [0.2500, 0.7500, 0.7500], [0.7500, 0.2500, 0.7500], [0.7500, 0.7500, 0.2500]]
}

---

[5]
{
  "formula": "Ac5CoH2",
  "functional": "PBE",
  "state": "relaxed",
  "magmom_total_mub_per_fu": 0.0,
  "total_energy_ev_per_atom": -4.39,
  "spacegroup": "Cmcm (63)",
  "lattice_angstrom": [[2.8364, -6.6964, 0.0000], [2.8364, 6.6964, 0.0000], [0.0000, 0.0000, 13.3005]],
  "species": ["Ac", "Ac", "Ac", "Ac", "Ac", "Ac", "Ac", "Ac", "Ac", "Ac", "Co", "Co", "H", "H", "H", "H"],
  "frac_coords": [[0.0967, 0.9033, 0.6004], [0.0967, 0.9033, 0.8996], [0.2391, 0.7609, 0.2500], [0.3928, 0.6072, 0.5984], [0.3928, 0.6072, 0.9016], [0.6072, 0.3928, 0.0984], [0.6072, 0.3928, 0.4016], [0.7609, 0.2391, 0.7500], [0.9033, 0.0967, 0.1004], [0.9033, 0.0967, 0.3996], [0.2541, 0.7459, 0.7500], [0.7459, 0.2541, 0.2500], [0.1001, 0.8999, 0.0986], [0.1001, 0.8999, 0.4014], [0.8999, 0.1001, 0.5986], [0.8999, 0.1001, 0.9014]]
}

---

[6]
{
  "formula": "Pm2CoGe6",
  "functional": "PBE",
  "state": "relaxed",
  "magmom_total_mub_per_fu": 0.0,
  "total_energy_ev_per_atom": -5.41,
  "e_form_ev_per_atom": -0.4900,
  "spacegroup": "Amm2 (38)",
  "relative_energy_mev_per_atom": 0,
  "lattice_angstrom": [[4.1432, 0.0000, 0.0000], [0.0000, 2.0145, 10.9365], [0.0000, -2.0145, 10.9365]],
  "species": ["Pm", "Pm", "Co", "Ge", "Ge", "Ge", "Ge", "Ge", "Ge"],
  "frac_coords": [[0.0000, 0.0000, 0.0000], [0.0000, 0.3351, 0.3351], [0.5000, 0.7758, 0.7758], [0.0000, 0.6081, 0.6081], [0.0000, 0.7227, 0.7227], [0.5000, 0.1059, 0.1059], [0.5000, 0.2210, 0.2210], [0.5000, 0.4554, 0.4554], [0.5000, 0.8822, 0.8822]]
}

---

[7]
{
  "formula": "Sr2ScAs",
  "functional": "PBE",
  "state": "relaxed",
  "magmom_total_mub_per_fu": 0.0,
  "total_energy_ev_per_atom": -4.08,
  "e_form_ev_per_atom": -0.4925,
  "spacegroup": "Imm2 (44)",
  "lattice_angstrom": [[3.8911, 0.0000, 0.0000], [0.0000, 5.6120, 0.0000], [0.0000, 0.0000, 12.1613]],
  "species": ["Sr", "Sr", "Sr", "Sr", "Sc", "Sc", "As", "As"],
  "frac_coords": [[0.0000, 0.0000, 0.0000], [0.0000, 0.5000, 0.1904], [0.5000, 0.0000, 0.6904], [0.5000, 0.5000, 0.5000], [0.0000, 0.0000, 0.3724], [0.5000, 0.5000, 0.8724], [0.0000, 0.5000, 0.7205], [0.5000, 0.0000, 0.2205]]
}

---

[8]
{
  "formula": "ZnCr",
  "functional": "PBE",
  "state": "relaxed",
  "magmom_total_mub_per_fu": 0.0,
  "total_energy_ev_per_atom": -5.13,
  "e_form_ev_per_atom": 0.3214,
  "spacegroup": "P6_3/mmc (194)",
  "lattice_angstrom": [[2.5896, 0.0000, 0.0000], [-1.2948, 2.2426, 0.0000], [0.0000, 0.0000, 8.8762]],
  "species": ["Zn", "Zn", "Cr", "Cr"],
  "frac_coords": [[0.3333, 0.6667, 0.2500], [0.6667, 0.3333, 0.7500], [0.0000, 0.0000, 0.0000], [0.0000, 0.0000, 0.5000]]
}

---

[9]
{
  "formula": "La5Tb8Dy",
  "functional": "PBE",
  "state": "relaxed",
  "magmom_total_mub_per_fu": 0.0,
  "total_energy_ev_per_atom": -4.69,
  "e_form_ev_per_atom": 0.0460,
  "spacegroup": "Cm (8)",
  "lattice_angstrom": [[8.7428, -1.7936, 0.0000], [8.7428, 1.7936, 0.0000], [-0.1724, 0.0000, 15.0826]],
  "species": ["La", "La", "La", "La", "La", "Tb", "Tb", "Tb", "Tb", "Tb", "Tb", "Tb", "Tb", "Dy"],
  "frac_coords": [[0.0000, 0.0000, 0.0000], [0.2487, 0.2487, 0.5037], [0.5762, 0.5762, 0.4475], [0.6665, 0.6665, 0.0755], [0.9220, 0.9220, 0.5660], [0.0393, 0.0393, 0.2357], [0.0996, 0.0996, 0.6563], [0.1560, 0.1560, 0.8656], [0.3571, 0.3571, 0.1377], [0.3968, 0.3968, 0.3582], [0.4550, 0.4550, 0.7877], [0.7293, 0.7293, 0.2921], [0.7708, 0.7708, 0.7160], [0.8221, 0.8221, 0.9323]]
}

---

[10]
{
  "formula": "TbNdAgAu",
  "functional": "PBE",
  "state": "relaxed",
  "magmom_total_mub_per_fu": 0.0,
  "total_energy_ev_per_atom": -4.42,
  "e_form_ev_per_atom": -0.5376,
  "spacegroup": "F-43m (216)",
  "relative_energy_mev_per_atom": 19,
  "lattice_angstrom": [[7.3681, 0.0000, 0.0000], [0.0000, 7.3681, 0.0000], [0.0000, 0.0000, 7.3681]],
  "species": ["Tb", "Tb", "Tb", "Tb", "Nd", "Nd", "Nd", "Nd", "Ag", "Ag", "Ag", "Ag", "Au", "Au", "Au", "Au"],
  "frac_coords": [[0.0000, 0.0000, 0.0000], [0.0000, 0.5000, 0.5000], [0.5000, 0.0000, 0.5000], [0.5000, 0.5000, 0.0000], [0.0000, 0.0000, 0.5000], [0.0000, 0.5000, 0.0000], [0.5000, 0.0000, 0.0000], [0.5000, 0.5000, 0.5000], [0.2500, 0.2500, 0.2500], [0.2500, 0.7500, 0.7500], [0.7500, 0.2500, 0.7500], [0.7500, 0.7500, 0.2500], [0.2500, 0.2500, 0.7500], [0.2500, 0.7500, 0.2500], [0.7500, 0.2500, 0.2500], [0.7500, 0.7500, 0.7500]]
}